The following is a PBE calculation of a relaxed structure of CsAc2PbS4, from Alexandria via LeMat-Bulk.

Lattice parameters (Å, degrees): 4.413 15.237 16.046 90.00 90.00 90.00
Space group Cmcm (No. 63)
Symmetry-distinct sites (fractional):
Cs  0.000  0.132  0.250 x4
Ac  0.000  0.369  0.056 x8
Pb  0.000  0.139  0.750 x4
S  0.000  0.000  0.000 x4
S  0.000  0.262  0.594 x8
S  0.000  0.461  0.250 x4

Results
Total DFT energy (no corrections)   -5.11 eV/atom
Formation energy (no corrections)   -1.45 eV per atom
Crystal system   orthorhombic

***

The following is a PBE calculation of a relaxed structure of Ca2TmAl, from Alexandria via LeMat-Bulk.

Lattice parameters (Å, degrees): 3.5368 3.5368 35.1401 90.00 90.00 120.00
Space group R-3m (No. 166, hexagonal axes)
Symmetry-distinct sites (fractional):
Ca  0.0000  0.0000  0.0967 x6
Tm  0.0000  0.0000  0.0000 x3
Al  0.0000  0.0000  0.5000 x3

Results
ΔE_f   0.21 eV/atom
Total DFT energy (no corrections)   -2.84 eV/atom
Crystal system   trigonal

***

Number 1: volume 1078.9 Å³ per cell. Number 2: volume 380.7 Å³ per cell.